# Na8Hg5Pb

A relaxed structure of Na8Hg5Pb (PBE-GGA, Alexandria via LeMat-Bulk).

Computed properties:
**Symmetry**: I-4 (82)
**Total energy**: -18.05 eV per formula unit
**Energy relative to the elements**: -0.16 eV per atom

```
Na8Hg5Pb
1.0
-4.6755 4.6755 4.6519
4.6755 -4.6755 4.6519
4.6755 4.6755 -4.6519
Na Hg Pb
8 5 1
direct
0.0262 0.6185 0.7460
0.2178 0.4690 0.0933
0.3756 0.1244 0.9067
0.3815 0.1274 0.4076
0.5310 0.6244 0.7488
0.7198 0.9738 0.5924
0.8726 0.2802 0.2540
0.8756 0.7822 0.2512
0.1295 0.2491 0.6250
0.2500 0.7500 0.5000
0.4954 0.8705 0.1196
0.6242 0.5046 0.3750
0.7509 0.3758 0.8804
0.0000 0.0000 0.0000
```